Entry 1:
Entry from OQMD via LeMat-Bulk: crystalline Dy3TmSc2Bi2Os at its relaxed geometry (PBE-GGA).

Summary:
Total energy: -6.183 eV/atom

Lattice parameters (Å, degrees): 4.230 8.062 8.062 119.90 90.00 90.00
Sites, in units of the cell vectors:
1 Bi 0.500 0.671 0.334
2 Bi 0.500 0.334 0.671
3 Dy 0.000 0.998 0.386
4 Dy 0.000 0.618 0.618
5 Dy 0.000 0.386 0.998
6 Os 0.000 0.991 0.991
7 Sc 0.500 0.999 0.775
8 Sc 0.500 0.775 0.999
9 Tm 0.500 0.228 0.228



Entry 2:
Entry from OQMD via LeMat-Bulk: crystalline Dy4Tm2Bi2Os at its relaxed geometry (PBE-GGA).

Summary:
Total energy: -5.751 eV/atom

Lattice parameters (Å, degrees): 4.242 8.259 8.259 120.02 90.00 90.00
Sites, in units of the cell vectors:
1 Bi 0.500 0.668 0.333
2 Bi 0.500 0.333 0.668
3 Dy 0.500 0.233 0.233
4 Dy 0.000 0.000 0.387
5 Dy 0.000 0.614 0.614
6 Dy 0.000 0.387 0.000
7 Os 0.000 0.998 0.998
8 Tm 0.500 0.768 0.000
9 Tm 0.500 0.000 0.768



Entry 3:
Entry from OQMD via LeMat-Bulk: crystalline Dy5TmBi2Os at its relaxed geometry (PBE-GGA).

Summary:
Total energy: -5.754 eV/atom

Lattice parameters (Å, degrees): 4.243 8.279 8.279 119.90 90.00 90.00
Sites, in units of the cell vectors:
1 Bi 0.500 0.665 0.333
2 Bi 0.500 0.333 0.665
3 Dy 0.500 0.767 0.000
4 Dy 0.000 0.387 0.000
5 Dy 0.000 0.000 0.387
6 Dy 0.000 0.612 0.612
7 Dy 0.500 0.000 0.767
8 Os 0.000 0.003 0.003
9 Tm 0.500 0.232 0.232



Entry 4:
Entry from OQMD via LeMat-Bulk: crystalline DyY2Tm3Bi2Os at its relaxed geometry (PBE-GGA).

Summary:
Total energy: -6.099 eV/atom

Lattice parameters (Å, degrees): 4.216 8.266 8.266 119.98 90.00 90.00
Sites, in units of the cell vectors:
1 Bi 0.000 0.667 0.333
2 Bi 0.000 0.333 0.667
3 Dy 0.000 0.764 0.764
4 Os 0.500 0.999 0.999
5 Tm 0.500 0.383 0.383
6 Tm 0.500 0.000 0.617
7 Tm 0.500 0.617 0.000
8 Y 0.000 0.000 0.238
9 Y 0.000 0.238 0.000



Entry 5:
Entry from OQMD via LeMat-Bulk: crystalline Dy2YTm3Bi2Os at its relaxed geometry (PBE-GGA).

Summary:
Total energy: -5.893 eV/atom

Lattice parameters (Å, degrees): 4.212 8.266 8.266 120.04 90.00 90.00
Sites, in units of the cell vectors:
1 Bi 0.500 0.667 0.333
2 Bi 0.500 0.333 0.667
3 Dy 0.500 0.236 0.000
4 Dy 0.500 0.000 0.236
5 Os 0.000 0.001 0.001
6 Tm 0.000 0.617 0.001
7 Tm 0.000 0.383 0.383
8 Tm 0.000 0.001 0.617
9 Y 0.500 0.762 0.762



Entry 6:
Entry from OQMD via LeMat-Bulk: crystalline Dy3BiP2 at its relaxed geometry (PBE-GGA).

Summary:
Total energy: -6.126 eV/atom

Lattice parameters (Å, degrees): 4.072 4.072 10.579 90.00 90.00 120.00
Sites, in units of the cell vectors:
1 Bi 0.000 0.000 0.500
2 Dy 0.000 0.000 0.000
3 Dy 0.667 0.333 0.297
4 Dy 0.333 0.667 0.703
5 P 0.333 0.667 0.154
6 P 0.667 0.333 0.846



Entry 7:
Entry from OQMD via LeMat-Bulk: crystalline DyPaBi at its relaxed geometry (PBE-GGA).

Summary:
Offset from the most stable computed form: 0.00 kJ per mole of atoms

Lattice parameters (Å, degrees): 5.256 5.256 5.256 60.00 60.00 60.00
Sites, in units of the cell vectors:
1 Bi 0.000 0.000 0.000
2 Dy 0.750 0.750 0.750
3 Pa 0.500 0.500 0.500



Entry 8:
Entry from OQMD via LeMat-Bulk: crystalline DyBiPb at its relaxed geometry (PBE-GGA).

Summary:
Offset from the most stable computed form: 0.00 kJ per mole of atoms

Lattice parameters (Å, degrees): 5.250 5.250 5.250 60.00 60.00 60.00
Sites, in units of the cell vectors:
1 Bi 0.250 0.250 0.250
2 Dy 0.000 0.000 0.000
3 Pb 0.750 0.750 0.750